[1]
Computed, not measured: crystalline NbFe2HOs at its relaxed geometry at the PBE level of DFT.

Cell: 3.749 3.749 3.949 Å, 90.00 90.00 90.00°
Each line ends with the local moment (μB).
Atoms (fractional coordinates):
Nb (0.000, 0.000, 0.500)  -0.17
Fe (0.500, 0.000, 0.000)  0.83
H (0.000, 0.000, 0.000)  -0.01
Os (0.500, 0.500, 0.500)  0.09
Fe (0.000, 0.500, 0.000)  0.83

density of states at the Fermi level = 4.9 states/eV/cell
E = -41.594 eV/cell
SG = P4/mmm
ΔE to the lowest computed polymorph = 0.005 eV/atom
density = 11.8 Mg/m³
crystal system = tetragonal
total moment = 1.6 μB per cell

[2]
Computed, not measured: crystalline NbFeHOs2 at its relaxed geometry at the PBE level of DFT.

Cell: 3.941 3.941 3.847 Å, 90.00 90.00 90.00°
Each line ends with the local moment (μB).
Atoms (fractional coordinates):
H (0.000, 0.000, 0.000)  -0.01
Os (0.000, 0.500, 0.000)  0.01
Fe (0.000, 0.000, 0.500)  1.48
Nb (0.500, 0.500, 0.500)  -0.18
Os (0.500, 0.000, 0.000)  0.01

density of states at the Fermi level = 3.8 states/eV/cell
E = -44.406 eV/cell
SG = P4/mmm
density = 14.7 Mg/m³
crystal system = tetragonal
total moment = 1.3 μB per cell

[3]
Computed, not measured: crystalline NbFe2HOs at its relaxed geometry at the PBE level of DFT.

Cell: 3.799 3.799 3.845 Å, 90.00 90.00 90.00°
Each line ends with the local moment (μB).
Atoms (fractional coordinates):
H (0.000, 0.000, 0.000)  -0.01
Fe (0.000, 0.500, 0.000)  0.87
Nb (0.500, 0.500, 0.500)  -0.25
Os (0.000, 0.000, 0.500)  0.08
Fe (0.500, 0.000, 0.000)  0.87

density of states at the Fermi level = 4.9 states/eV/cell
E = -41.618 eV/cell
SG = P4/mmm
ΔE to the lowest computed polymorph = 0.000 eV/atom
density = 11.8 Mg/m³
crystal system = tetragonal
total moment = 1.6 μB per cell